[1]
An optimized crystal structure of PmScZnRh. Source: Alexandria, functional GGA-PBE.

As for the space-group type: No. 216. For the mass density, the calculation gives 7.3 g/cm3. The value obtained for the final energy is -21.8 eV for the cell shown. The energy relative to the elements comes out at -0.53 eV per atom.

a = 4.875 Å, b = 4.875 Å, c = 4.875 Å
α = 60.00°, β = 60.00°, γ = 60.00°
Sites, in units of the cell vectors:
Pm  0.000  0.000  0.000
Sc  0.500  0.500  0.500
Zn  0.250  0.250  0.250
Rh  0.750  0.750  0.750

---

[2]
An optimized crystal structure of Pm2ScZn2Rh5. Source: Alexandria, functional GGA-PBE.

As for the space-group type: No. 127. For the mass density, the calculation gives 9.1 g/cm3. The value obtained for the final energy is -123.2 eV for the cell shown. The energy relative to the elements comes out at -0.64 eV per atom.

a = 9.921 Å, b = 9.921 Å, c = 3.615 Å
α = 90.00°, β = 90.00°, γ = 90.00°
Sites, in units of the cell vectors:
Pm  0.174  0.326  0.000
Pm  0.326  0.826  0.000
Pm  0.674  0.174  0.000
Pm  0.826  0.674  0.000
Sc  0.000  0.000  0.000
Sc  0.500  0.500  0.000
Zn  0.123  0.623  0.000
Zn  0.377  0.123  0.000
Zn  0.623  0.877  0.000
Zn  0.877  0.377  0.000
Rh  0.000  0.500  0.500
Rh  0.066  0.795  0.500
Rh  0.205  0.066  0.500
Rh  0.295  0.566  0.500
Rh  0.434  0.295  0.500
Rh  0.500  0.000  0.500
Rh  0.566  0.705  0.500
Rh  0.705  0.434  0.500
Rh  0.795  0.934  0.500
Rh  0.934  0.205  0.500

---

[3]
An optimized crystal structure of Pm5RhSe4. Source: Alexandria, functional GGA-PBE.

Its formation energy from raw total energies is -1.59 eV/atom. As for the space-group type: No. 139. For the mass density, the calculation gives 7.3 g/cm3. The value obtained for the final energy is -60.9 eV for the cell shown.

a = 15.131 Å, b = 15.131 Å, c = 15.131 Å
α = 164.08°, β = 164.08°, γ = 22.58°
Sites, in units of the cell vectors:
Pm  0.000  0.000  0.000
Pm  0.204  0.204  0.000
Pm  0.406  0.406  0.000
Pm  0.594  0.594  0.000
Pm  0.796  0.796  0.000
Rh  0.500  0.500  0.000
Se  0.103  0.103  0.000
Se  0.305  0.305  0.000
Se  0.695  0.695  0.000
Se  0.897  0.897  0.000